YZrTa | GGA-PBE | relaxed

Raw total energy = -8.680 eV per atom
V = 24.04 Å³/atom
Space group = No. 107
Magnetization = 0.0 μB/f.u.

Lattice parameters (Å, degrees): 7.788 7.788 7.788 156.99 156.99 32.77
Atoms (fractional coordinates):
Ta1 0.005 0.005 0.000
Y1 0.348 0.348 0.000
Zr1 0.647 0.647 0.000